[1]
# PBE-GGA AlC3O, relaxed
data_AlC3O
_chemical_formula_sum 'Al1 C3 O1'
_cell_length_a 3.9119
_cell_length_b 3.9119
_cell_length_c 3.9119
_cell_angle_alpha 90.00
_cell_angle_beta 90.00
_cell_angle_gamma 90.00
_space_group_name_H-M_alt 'P m -3 m'
_space_group_IT_number 221
_space_group_name_Hall '-P 4 2 3'
loop_
_atom_site_label
_atom_site_fract_x
_atom_site_fract_y
_atom_site_fract_z
Al1 0.0000 0.0000 0.0000
C1 0.0000 0.0000 0.5000
O1 0.5000 0.5000 0.5000
# **Energy above the lowest structure with this stoichiometry**: 181 meV per atom
# **Magnetization**: 0.00 μB/cell
# **ΔE_f (raw)**: 2.9008 eV per atom
# **E_tot**: -4.37 eV per atom

[2]
# PBE-GGA Pm4ErRu, relaxed
data_Pm4ErRu
_chemical_formula_sum 'Pm16 Er4 Ru4'
_cell_length_a 17.3639
_cell_length_b 7.5095
_cell_length_c 6.0744
_cell_angle_alpha 90.00
_cell_angle_beta 110.44
_cell_angle_gamma 90.00
_space_group_name_H-M_alt 'C 1 2/m 1'
_space_group_IT_number 12
_space_group_name_Hall '-C 2y'
loop_
_atom_site_label
_atom_site_fract_x
_atom_site_fract_y
_atom_site_fract_z
Pm1 0.0000 0.2074 0.0000
Pm2 0.1156 0.2502 0.6157
Pm3 0.1729 0.5000 0.1730
Er1 0.1990 0.0000 0.1991
Ru1 0.9997 0.5000 0.2606
# **Magnetization**: 0.00 μB/cell
# **DFT formation energy**: -0.0491 eV per atom
# **E_tot**: -5.52 eV per atom

[3]
# PBE-GGA Tl2AgHgP, relaxed
data_Tl2AgHgP
_chemical_formula_sum 'Tl2 Ag1 Hg1 P1'
_cell_length_a 5.4691
_cell_length_b 5.4691
_cell_length_c 5.1812
_cell_angle_alpha 90.00
_cell_angle_beta 90.00
_cell_angle_gamma 90.00
_space_group_name_H-M_alt 'P 4/m m m'
_space_group_IT_number 123
_space_group_name_Hall '-P 4 2'
loop_
_atom_site_label
_atom_site_fract_x
_atom_site_fract_y
_atom_site_fract_z
Tl1 0.0000 0.5000 0.0000
Ag1 0.0000 0.0000 0.5000
Hg1 0.5000 0.5000 0.5000
P1 0.5000 0.5000 0.0000
# **Magnetization**: 0.00 μB/cell
# **DFT formation energy**: 0.4617 eV per atom
# **E_tot**: -2.20 eV per atom

[4]
# PBE-GGA SiSeO2, relaxed
data_SiSeO2
_chemical_formula_sum 'Si4 Se4 O8'
_cell_length_a 5.7406
_cell_length_b 5.7406
_cell_length_c 5.7406
_cell_angle_alpha 90.00
_cell_angle_beta 90.00
_cell_angle_gamma 90.00
_space_group_name_H-M_alt 'F m -3 m'
_space_group_IT_number 225
_space_group_name_Hall '-F 4 2 3'
loop_
_atom_site_label
_atom_site_fract_x
_atom_site_fract_y
_atom_site_fract_z
Si1 0.0000 0.0000 0.0000
Se1 0.0000 0.0000 0.5000
O1 0.2500 0.2500 0.2500
# **Energy above the lowest structure with this stoichiometry**: 2159 meV per atom
# **Magnetization**: 0.00 μB/cell
# **ΔE_f (raw)**: 0.4865 eV per atom
# **E_tot**: -4.22 eV per atom